1.
Sc3In2Se6 (GGA-PBE, relaxed); uncorrected energy = -5.391 eV per atom; V = 26.2 Å³/atom; crystal system = monoclinic; ρ = 4.83 g cm⁻³; N(E_F) = 0.310 states/eV/atom; formation energy from raw total energies = -1.265 eV/atom
1.0
-4.537 -4.240 -2.740
1.919 -4.377 -4.812
0.012 -6.324 4.163
Sc In Se
3 2 6
direct
0.332 0.336 0.000
0.668 0.664 0.000
0.000 0.000 0.000
0.167 0.667 0.500
0.833 0.333 0.500
0.933 0.663 0.213
0.404 0.663 0.787
0.596 0.337 0.213
0.260 0.000 0.209
0.740 0.000 0.791
0.067 0.337 0.787

2.
GdNiSb (GGA-PBE, relaxed); uncorrected energy = -8.883 eV per atom; V = 21.9 Å³/atom; crystal system = cubic; ρ = 8.52 g cm⁻³; N(E_F) = 0.004 states/eV/atom; formation energy from raw total energies = -0.888 eV/atom
1.0
-2.130 3.386 2.130
-3.499 2.084 -1.989
-4.201 -0.608 1.588
Sb Gd Ni
1 1 1
direct
0.000 0.000 0.000
0.500 0.500 0.500
0.750 0.750 0.750

3.
PrErAgPd (GGA-PBE, relaxed); uncorrected energy = -4.888 eV per atom; V = 24.8 Å³/atom; crystal system = orthorhombic; ρ = 8.76 g cm⁻³; E_form = -0.54 eV/atom; N(E_F) = 0.633 states/eV/atom; excess energy over the best structure of this formula in the dataset = 0 meV per atom
1.0
3.814 0.000 0.000
0.000 4.782 0.000
-1.907 0.000 5.433
Er Pr Pd Ag
1 1 1 1
direct
0.863 0.500 0.726
0.142 0.000 0.285
0.415 0.000 0.831
0.579 0.500 0.158

4.
Nb3InIr (GGA-PBE, relaxed); uncorrected energy = -7.627 eV per atom; V = 23.3 Å³/atom; crystal system = cubic; ρ = 8.35 g cm⁻³; E_form = 0.73 eV/atom; N(E_F) = 1.178 states/eV/atom; excess energy over the best structure of this formula in the dataset = 0 meV per atom
1.0
4.884 0.000 0.000
0.000 4.884 0.000
0.000 0.000 4.884
In Ir Nb
1 1 3
direct
0.500 0.500 0.500
0.000 0.000 0.000
0.500 0.000 0.000
0.000 0.000 0.500
0.000 0.500 0.000

5.
RhSeBr2 (GGA-PBE, relaxed); uncorrected energy = -2.713 eV per atom; V = 20.8 Å³/atom; crystal system = tetragonal; ρ = 6.82 g cm⁻³; N(E_F) = 1.390 states/eV/atom; excess energy over the best structure of this formula in the dataset = 1087 meV per atom; formation energy from raw total energies = 0.832 eV/atom
1.0
5.032 0.018 0.000
-0.021 5.032 0.000
0.000 0.000 3.285
Se Rh Br
1 1 2
direct
0.000 0.500 0.500
0.500 0.000 0.500
0.500 0.500 0.000
0.000 0.000 0.000

6.
AcZrAs2 (GGA-PBE, relaxed); uncorrected energy = -6.261 eV per atom; V = 24.0 Å³/atom; crystal system = cubic; ρ = 8.09 g cm⁻³; E_form = -0.77 eV/atom; N(E_F) = 1.025 states/eV/atom; excess energy over the best structure of this formula in the dataset = 467 meV per atom
1.0
5.141 0.000 0.000
2.571 4.452 0.000
2.571 1.484 4.198
Ac As Zr
1 2 1
direct
0.000 0.000 0.000
0.250 0.250 0.250
0.750 0.750 0.750
0.500 0.500 0.500

7.
K2SrSbTe4 (GGA-PBE, relaxed); uncorrected energy = -3.383 eV per atom; V = 38.3 Å³/atom; crystal system = orthorhombic; ρ = 4.32 g cm⁻³; N(E_F) = 0.983 states/eV/atom; formation energy from raw total energies = -0.813 eV/atom
1.0
-6.740 -3.932 -5.544
6.812 -3.670 -5.635
0.091 -1.178 10.162
Sb Te Sr K
2 8 2 4
direct
0.000 0.000 0.000
0.500 0.500 0.500
0.246 0.254 0.038
0.754 0.746 0.962
0.743 0.282 0.513
0.782 0.243 0.013
0.246 0.254 0.462
0.218 0.757 0.987
0.257 0.718 0.487
0.754 0.746 0.538
0.000 0.500 0.500
0.000 0.500 0.000
0.500 0.000 0.000
0.500 0.000 0.500
0.500 0.500 0.000
0.000 0.000 0.500

8.
Nd2CdHg3 (GGA-PBE, relaxed); uncorrected energy = -2.312 eV per atom; V = 25.8 Å³/atom; crystal system = orthorhombic; ρ = 10.76 g cm⁻³; E_form = -0.42 eV/atom; N(E_F) = 0.740 states/eV/atom
1.0
-4.663 3.957 -0.542
-1.008 -3.856 4.670
6.894 5.477 3.376
Hg Nd Cd
6 4 2
direct
0.337 0.831 0.168
0.831 0.337 0.168
0.168 0.168 0.336
0.169 0.663 0.832
0.663 0.169 0.832
0.832 0.832 0.664
0.250 0.750 0.500
0.750 0.250 0.500
0.754 0.754 0.000
0.246 0.246 0.000
0.667 0.667 0.333
0.333 0.333 0.667

9.
CrAuBr2 (GGA-PBE, relaxed); uncorrected energy = -4.195 eV per atom; V = 26.2 Å³/atom; crystal system = monoclinic; ρ = 6.48 g cm⁻³; N(E_F) = 0.518 states/eV/atom; excess energy over the best structure of this formula in the dataset = 87 meV per atom; formation energy from raw total energies = -0.133 eV/atom
1.0
3.455 0.000 0.000
0.000 3.952 0.021
0.000 1.931 7.680
Br Au Cr
2 1 1
direct
0.500 0.394 0.336
0.000 0.116 0.896
0.500 0.715 0.696
0.000 0.275 0.572

10.
TbSm2Mg2 (GGA-PBE, relaxed); uncorrected energy = -3.401 eV per atom; V = 30.3 Å³/atom; crystal system = orthorhombic; ρ = 5.58 g cm⁻³; E_form = 0.05 eV/atom; N(E_F) = 1.445 states/eV/atom; excess energy over the best structure of this formula in the dataset = 121 meV per atom
1.0
5.254 0.000 0.000
2.627 5.390 -0.311
2.627 1.144 5.276
Mg Sm Tb
2 2 1
direct
0.500 0.707 0.293
0.500 0.293 0.707
0.195 0.305 0.305
0.805 0.695 0.695
0.000 0.000 0.000

11.
Rb2UPtO6 (GGA-PBE, relaxed); uncorrected energy = -6.837 eV per atom; V = 14.4 Å³/atom; crystal system = cubic; ρ = 8.05 g cm⁻³; formation energy from raw total energies = -1.936 eV/atom
1.0
-0.605 -3.569 4.646
5.857 -0.286 0.544
-2.700 5.234 -0.064
Rb O Pt U
2 6 1 1
direct
0.250 0.750 0.500
0.750 0.250 0.500
0.248 0.248 0.000
0.752 0.752 0.504
0.752 0.248 0.000
0.752 0.752 0.000
0.248 0.248 0.496
0.248 0.753 0.000
0.000 0.000 0.000
0.500 0.500 0.000

12.
AcPm2Pr (GGA-PBE, relaxed); uncorrected energy = -4.567 eV per atom; V = 37.3 Å³/atom; crystal system = trigonal; ρ = 7.32 g cm⁻³; E_form = 0.03 eV/atom; N(E_F) = 1.388 states/eV/atom; excess energy over the best structure of this formula in the dataset = 6 meV per atom
1.0
-1.822 3.292 0.284
-3.170 0.233 2.033
4.843 3.928 10.604
Pm Ac Pr
2 1 1
direct
0.748 0.748 0.755
0.252 0.252 0.245
0.500 0.500 0.500
0.000 0.000 0.000

13.
BaSr2CrMo (GGA-PBE, relaxed); uncorrected energy = -3.203 eV per atom; V = 39.8 Å³/atom; crystal system = tetragonal; ρ = 3.84 g cm⁻³; E_form = 1.94 eV/atom; N(E_F) = 0.778 states/eV/atom
1.0
6.267 0.000 0.000
0.000 5.072 0.000
0.000 0.000 6.267
Cr Mo Sr Ba
1 1 2 1
direct
0.000 0.500 0.000
0.500 0.500 0.500
0.500 0.000 0.000
0.000 0.000 0.500
0.000 0.000 0.000

14.
Sm2NpBiO8 (GGA-PBE, relaxed); uncorrected energy = -8.140 eV per atom; V = 16.3 Å³/atom; crystal system = monoclinic; ρ = 7.44 g cm⁻³; N(E_F) = 0.123 states/eV/atom; formation energy from raw total energies = -2.647 eV/atom
1.0
5.216 -0.061 -0.003
-0.030 5.216 -0.006
0.004 0.008 7.171
O Sm Np Bi
8 2 1 1
direct
0.724 0.726 0.000
0.818 0.184 0.784
0.276 0.274 0.000
0.818 0.184 0.216
0.182 0.816 0.784
0.311 0.309 0.500
0.689 0.691 0.500
0.182 0.816 0.216
0.500 0.500 0.743
0.500 0.500 0.257
0.000 0.000 0.000
0.000 0.000 0.500

15.
NaAlBi (GGA-PBE, relaxed); uncorrected energy = -3.036 eV per atom; V = 29.9 Å³/atom; crystal system = tetragonal; ρ = 4.79 g cm⁻³; E_form = -0.05 eV/atom; N(E_F) = 0.572 states/eV/atom; excess energy over the best structure of this formula in the dataset = 0 meV per atom
1.0
4.929 0.000 0.000
0.000 4.929 0.000
0.000 0.000 7.388
Na Bi Al
2 2 2
direct
0.000 0.500 0.826
0.500 0.000 0.174
0.000 0.500 0.279
0.500 0.000 0.721
0.000 0.000 0.500
0.500 0.500 0.500

16.
Sc2VHPb (GGA-PBE, relaxed); uncorrected energy = -5.957 eV per atom; V = 16.7 Å³/atom; crystal system = tetragonal; ρ = 6.96 g cm⁻³; N(E_F) = 0.781 states/eV/atom
1.0
-2.232 3.663 -1.528
-3.851 -1.573 1.852
0.848 1.941 3.412
H Sc V Pb
1 2 1 1
direct
0.000 0.000 0.000
0.000 0.500 0.000
0.500 0.000 0.000
0.000 0.000 0.500
0.500 0.500 0.500

17.
SnPtF2 (GGA-PBE, relaxed); uncorrected energy = -4.077 eV per atom; V = 16.4 Å³/atom; crystal system = trigonal; ρ = 8.89 g cm⁻³; N(E_F) = 0.586 states/eV/atom; excess energy over the best structure of this formula in the dataset = 395 meV per atom; formation energy from raw total energies = -0.631 eV/atom
1.0
-5.911 -4.139 -5.157
-4.661 -6.481 -3.864
-6.853 -5.041 -2.508
F Pt Sn
2 1 1
direct
0.921 0.921 0.921
0.079 0.079 0.079
0.500 0.500 0.500
0.000 0.000 0.000

18.
ReBNO2 (GGA-PBE, relaxed); uncorrected energy = -7.163 eV per atom; V = 11.6 Å³/atom; crystal system = tetragonal; ρ = 6.97 g cm⁻³; N(E_F) = 0.228 states/eV/atom; formation energy from raw total energies = 0.310 eV/atom
1.0
-3.821 0.328 -0.387
-0.272 -3.806 -0.548
-0.433 -0.521 3.836
B N O Re
1 1 2 1
direct
0.500 0.500 0.500
0.000 0.000 0.500
0.500 0.000 0.000
0.000 0.500 0.000
0.000 0.000 0.000

19.
Ag2OsPb (GGA-PBE, relaxed); uncorrected energy = -4.436 eV per atom; V = 18.8 Å³/atom; crystal system = orthorhombic; ρ = 13.54 g cm⁻³; E_form = 0.72 eV/atom; N(E_F) = 0.623 states/eV/atom
1.0
-2.730 -3.737 2.698
2.037 -1.470 -4.731
2.471 -0.847 1.327
Ag Pb Os
2 1 1
direct
0.500 0.500 0.000
0.000 0.000 0.000
0.000 0.500 0.500
0.500 0.000 0.500

20.
LiZrGe2Pd (GGA-PBE, relaxed); uncorrected energy = -4.610 eV per atom; V = 23.9 Å³/atom; crystal system = tetragonal; ρ = 4.86 g cm⁻³; E_form = 0.37 eV/atom; N(E_F) = 0.730 states/eV/atom
1.0
-1.697 2.493 3.754
-4.727 -1.838 -0.917
0.896 -3.745 2.892
Pd Li Ge Zr
1 1 2 1
direct
0.000 0.000 0.000
0.500 0.500 0.500
0.500 0.000 0.000
0.000 0.000 0.500
0.000 0.500 0.000

21.
KTa2Mo (GGA-PBE, relaxed); uncorrected energy = -7.971 eV per atom; V = 24.9 Å³/atom; crystal system = monoclinic; ρ = 8.29 g cm⁻³; E_form = 0.94 eV/atom; N(E_F) = 0.885 states/eV/atom; excess energy over the best structure of this formula in the dataset = 356 meV per atom
1.0
-3.841 -1.525 -2.145
-4.119 -2.109 0.518
-3.633 7.205 1.201
Ta Mo K
2 1 1
direct
0.506 0.506 0.409
0.994 0.994 0.091
0.250 0.250 0.250
0.750 0.750 0.750

22.
Bi3Ru3O11 (GGA-PBE, relaxed); uncorrected energy = -6.621 eV per atom; V = 12.2 Å³/atom; crystal system = cubic; ρ = 8.86 g cm⁻³; N(E_F) = 0.599 states/eV/atom; formation energy from raw total energies = -1.091 eV/atom
1.0
-9.173 -1.077 1.731
0.909 -9.302 -0.971
1.825 -0.781 9.185
O Ru Bi
44 12 12
direct
0.500 0.161 0.500
0.349 0.993 0.286
0.103 0.897 0.103
0.849 0.507 0.786
0.000 0.000 0.339
0.339 0.000 0.000
0.151 0.493 0.786
0.000 0.339 0.000
0.603 0.603 0.603
0.651 0.993 0.714
0.897 0.103 0.103
0.603 0.397 0.397
0.000 0.000 0.661
0.786 0.151 0.493
0.000 0.661 0.000
0.214 0.151 0.507
0.651 0.007 0.286
0.103 0.103 0.897
0.493 0.786 0.151
0.714 0.651 0.993
0.507 0.214 0.151
0.500 0.839 0.500
0.397 0.603 0.397
0.214 0.849 0.493
0.839 0.500 0.500
0.661 0.000 0.000
0.786 0.849 0.507
0.286 0.349 0.993
0.500 0.500 0.839
0.897 0.897 0.897
0.286 0.651 0.007
0.007 0.714 0.349
0.507 0.786 0.849
0.849 0.493 0.214
0.151 0.507 0.214
0.493 0.214 0.849
0.993 0.714 0.651
0.007 0.286 0.651
0.714 0.349 0.007
0.397 0.397 0.603
0.349 0.007 0.714
0.500 0.500 0.161
0.993 0.286 0.349
0.161 0.500 0.500
0.500 0.636 0.000
0.500 0.000 0.864
0.864 0.500 0.000
0.500 0.364 0.000
0.000 0.136 0.500
0.364 0.000 0.500
0.500 0.000 0.136
0.136 0.500 0.000
0.000 0.500 0.636
0.636 0.000 0.500
0.000 0.864 0.500
0.000 0.500 0.364
0.250 0.250 0.750
0.134 0.866 0.866
0.866 0.866 0.134
0.634 0.634 0.366
0.366 0.634 0.634
0.750 0.250 0.250
0.866 0.134 0.866
0.134 0.134 0.134
0.634 0.366 0.634
0.250 0.750 0.250
0.366 0.366 0.366
0.750 0.750 0.750

23.
CeTh2Ni (GGA-PBE, relaxed); uncorrected energy = -6.753 eV per atom; V = 25.7 Å³/atom; crystal system = tetragonal; ρ = 10.72 g cm⁻³; E_form = -0.11 eV/atom; N(E_F) = 1.214 states/eV/atom; excess energy over the best structure of this formula in the dataset = 78 meV per atom
1.0
-3.349 -0.352 1.162
-0.529 -2.645 -2.327
2.483 -5.362 5.532
Th Ni Ce
2 1 1
direct
0.000 0.000 0.208
0.000 0.000 0.792
0.500 0.500 0.000
0.500 0.500 0.500